Density functional theory data (PBE) for a geometry-optimized Er3ZnPt4 structure.

Summary:
As for the crystal system: orthorhombic. The formation enthalpy at 0 K is -1.0233 eV/atom.

Cell and atoms, written as CIF:
```
data_Er3ZnPt4
_chemical_formula_sum 'Er3 Zn1 Pt4'
_symmetry_space_group_name_H-M 'P 1'
_symmetry_Int_Tables_number 1
_symmetry_space_group_name_Hall 'P 1'
_cell_length_a 4.006
_cell_length_b 5.779
_cell_length_c 8.418
_cell_angle_alpha 110.07
_cell_angle_beta 103.76
_cell_angle_gamma 90.00
loop_
_atom_site_label
_atom_site_fract_x
_atom_site_fract_y
_atom_site_fract_z
Er1 0.202 0.202 0.404
Er2 0.798 0.798 0.596
Er3 0.000 0.500 0.000
Zn1 0.500 0.000 0.000
Pt1 0.376 0.150 0.751
Pt2 0.624 0.850 0.249
Pt3 0.624 0.399 0.249
Pt4 0.376 0.601 0.751
```